# 1
First-principles (GGA-PBE) data for an optimized crystal structure of LaTh2Pa, as listed in Alexandria via LeMat-Bulk.

Summary:
total DFT energy (no corrections) = -28.6 eV per cell
E_form = 0.16 eV per atom

Geometry as CIF:
```
data_LaTh2Pa
_cell_length_a 4.9675
_cell_length_b 4.9675
_cell_length_c 4.8763
_cell_angle_alpha 90.00
_cell_angle_beta 90.00
_cell_angle_gamma 90.00
_symmetry_space_group_name_H-M 'P 4/m m m'
_symmetry_Int_Tables_number 123
_symmetry_space_group_name_Hall '-P 4 2'
loop_
_atom_site_label
_atom_site_fract_x
_atom_site_fract_y
_atom_site_fract_z
La1 0.0000 0.0000 0.0000
Th1 0.0000 0.5000 0.5000
Pa1 0.5000 0.5000 0.0000
```


# 2
First-principles (GGA-PBE) data for an optimized crystal structure of LaLu2Sn, as listed in Alexandria via LeMat-Bulk.

Summary:
total DFT energy (no corrections) = -19.1 eV per cell
E_form = -0.29 eV per atom

Geometry as CIF:
```
data_LaLu2Sn
_cell_length_a 3.7278
_cell_length_b 3.7278
_cell_length_c 8.5171
_cell_angle_alpha 90.00
_cell_angle_beta 90.00
_cell_angle_gamma 90.00
_symmetry_space_group_name_H-M 'P 4/m m m'
_symmetry_Int_Tables_number 123
_symmetry_space_group_name_Hall '-P 4 2'
loop_
_atom_site_label
_atom_site_fract_x
_atom_site_fract_y
_atom_site_fract_z
La1 0.0000 0.0000 0.0000
Lu1 0.5000 0.5000 0.2886
Sn1 0.0000 0.0000 0.5000
```


# 3
First-principles (GGA-PBE) data for an optimized crystal structure of SrMgMo2, as listed in Alexandria via LeMat-Bulk.

Summary:
total DFT energy (no corrections) = -44.8 eV per cell
E_form = 0.63 eV per atom

Geometry as CIF:
```
data_SrMgMo2
_cell_length_a 8.5483
_cell_length_b 3.1266
_cell_length_c 7.1922
_cell_angle_alpha 90.00
_cell_angle_beta 95.94
_cell_angle_gamma 90.00
_symmetry_space_group_name_H-M 'C 1 m 1'
_symmetry_Int_Tables_number 8
_symmetry_space_group_name_Hall 'C -2y'
loop_
_atom_site_label
_atom_site_fract_x
_atom_site_fract_y
_atom_site_fract_z
Sr1 0.0000 0.0000 0.0000
Mg1 0.2688 0.5000 0.3559
Mo1 0.0098 0.5000 0.5673
Mo2 0.2358 0.0000 0.6942
```


# 4
First-principles (GGA-PBE) data for an optimized crystal structure of Tl3InO, as listed in Alexandria via LeMat-Bulk.

Summary:
total DFT energy (no corrections) = -11.6 eV per cell

Geometry as CIF:
```
data_Tl3InO
_cell_length_a 5.7431
_cell_length_b 5.7431
_cell_length_c 5.7431
_cell_angle_alpha 90.00
_cell_angle_beta 90.00
_cell_angle_gamma 90.00
_symmetry_space_group_name_H-M 'P m -3 m'
_symmetry_Int_Tables_number 221
_symmetry_space_group_name_Hall '-P 4 2 3'
loop_
_atom_site_label
_atom_site_fract_x
_atom_site_fract_y
_atom_site_fract_z
Tl1 0.0000 0.0000 0.5000
In1 0.0000 0.0000 0.0000
O1 0.5000 0.5000 0.5000
```


The lowest total DFT energy (no corrections) belongs to which entry?
SrMgMo2